Record 1
# SmTaO4

SmTaO4 after structural relaxation (PBEsol, the Alexandria database).

POSCAR file:
```
SmTaO4
1.0
3.8963 0.0000 0.0000
0.0000 5.4779 0.0000
-1.9482 0.0000 7.3958
O Ta Sm
8 2 2
Cartesian
0.0000 0.5170 4.4239 O
1.9482 3.2559 2.9719 O
0.0000 3.1934 4.9262 O
1.9482 0.4544 2.4697 O
0.0000 5.2860 6.9617 O
1.9482 2.5470 0.4341 O
0.0000 4.1953 1.3813 O
1.9482 1.4564 6.0145 O
1.9482 4.4323 1.2653 Ta
0.0000 1.6934 6.1305 Ta
0.0000 2.0131 2.7128 Sm
1.9482 4.7520 4.6830 Sm
```

Values from the calculation:
VASP energy = -115.70 eV for the cell shown
formation energy without anion corrections = -3.2016 eV/atom
total magnetic moment = 0.00 μB/f.u.



Record 2
# LaSi2Br

LaSi2Br after structural relaxation (PBEsol, the Alexandria database).

POSCAR file:
```
LaSi2Br
1.0
-2.4320 1.2048 4.2540
-4.1597 -2.5277 1.3306
0.1113 -3.1426 3.9465
La Si Br
1 2 1
Cartesian
-1.6201 -1.1164 2.3828 La
0.0000 0.0000 0.0000 Si
-4.8603 -3.3491 7.1483 Si
-3.2402 -2.2327 4.7655 Br
```

Values from the calculation:
VASP energy = -19.54 eV for the cell shown
formation energy without anion corrections = -0.2081 eV/atom
total magnetic moment = 0.00 μB/f.u.
energy above the most stable polymorph in this dataset = 0.377 eV per atom



Record 3
# Li2AgC2

Li2AgC2 after structural relaxation (PBEsol, the Alexandria database).

POSCAR file:
```
Li2AgC2
1.0
-1.2274 2.5824 -1.6951
-5.2136 -1.6890 1.2018
0.0723 3.1025 4.6742
Li C Ag
4 4 2
Cartesian
-4.8469 0.8938 1.6122 Li
-4.1190 2.6692 3.7898 Li
-1.5218 3.1021 2.5688 Li
-2.2497 1.3267 0.3911 Li
-2.1120 2.1418 4.7922 C
-4.7431 0.2560 3.8242 C
-3.0293 -0.7284 1.0837 C
-0.3982 1.1575 2.0518 C
0.0000 0.0000 0.0000 Ag
-2.5706 0.7067 2.9380 Ag
```

Values from the calculation:
VASP energy = -50.40 eV for the cell shown
total magnetic moment = 0.00 μB/f.u.



Record 4
# Sn2Te2Pd

Sn2Te2Pd after structural relaxation (PBEsol, the Alexandria database).

POSCAR file:
```
Sn2Te2Pd
1.0
3.9633 0.0000 0.0000
0.0000 3.9633 0.0000
-1.9817 -1.9817 8.2729
Te Pd Sn
2 1 2
Cartesian
1.9817 1.9817 1.4319 Te
0.0000 0.0000 6.8410 Te
0.0000 0.0000 0.0000 Pd
1.9817 0.0000 4.1365 Sn
0.0000 1.9817 4.1365 Sn
```

Values from the calculation:
VASP energy = -20.30 eV for the cell shown
formation energy without anion corrections = 0.2467 eV/atom
total magnetic moment = 0.00 μB/f.u.



Record 5
# BaScS2

BaScS2 after structural relaxation (PBEsol, the Alexandria database).

POSCAR file:
```
BaScS2
1.0
4.9711 0.0000 0.0000
2.4856 4.3051 0.0000
2.4856 1.4350 4.0589
S Sc Ba
2 1 1
Cartesian
2.4856 1.4350 1.0147 S
7.4567 4.3051 3.0442 S
0.0000 0.0000 0.0000 Sc
4.9711 2.8701 2.0295 Ba
```

Values from the calculation:
VASP energy = -23.27 eV for the cell shown
formation energy without anion corrections = -1.4382 eV/atom
total magnetic moment = 0.82 μB/f.u.
energy above the most stable polymorph in this dataset = 0.088 eV per atom



Record 6
# CsB3O5

CsB3O5 after structural relaxation (PBEsol, the Alexandria database).

POSCAR file:
```
CsB3O5
1.0
5.8336 0.0000 0.0000
0.0000 8.4185 0.0000
0.0000 0.0000 9.9640
O Cs B
20 4 12
Cartesian
3.6687 8.2968 1.0324 O
5.3274 7.9315 9.3993 O
3.4231 0.4871 4.4174 O
4.4376 6.0472 0.6459 O
3.2310 2.2770 2.8009 O
3.9314 4.4867 2.3711 O
2.4106 4.6963 0.5646 O
1.0146 8.1411 7.5929 O
1.5208 6.5806 9.3181 O
1.3960 1.8379 4.3361 O
0.7519 4.3310 8.9315 O
0.5063 3.7222 5.5466 O
5.0817 0.1217 6.0144 O
2.6026 6.4863 2.1811 O
4.8191 3.9318 7.3530 O
2.1649 4.0875 3.9495 O
0.3142 1.9323 7.1631 O
5.5195 6.1415 7.7829 O
1.9023 0.2775 2.6109 O
4.3129 2.3713 5.6279 O
5.8253 2.2781 1.3329 Cs
2.9085 1.9311 8.6311 Cs
0.0083 6.4874 3.6491 Cs
2.9252 6.1404 6.3149 Cs
4.2699 1.0438 5.3263 B
2.4892 1.2433 3.5520 B
4.4805 7.3747 0.3443 B
0.4277 7.1752 8.5340 B
3.3445 5.4526 1.4299 B
1.3531 3.1655 4.6377 B
2.7180 7.8182 1.9395 B
1.5637 5.2531 9.6197 B
3.1156 3.6089 3.0424 B
5.6349 4.8096 8.0244 B
5.4060 2.9660 6.4119 B
0.1988 0.6003 6.9215 B
```

Values from the calculation:
VASP energy = -281.07 eV for the cell shown
formation energy without anion corrections = -2.4476 eV/atom
total magnetic moment = 0.00 μB/f.u.



Look up the total magnetic moment of the fifth one. 0.82 μB/f.u.